(1)
Dy4AlAg3, relaxed, DFT PBE; size of the total moment = 0.00 Bohr magnetons per cell; N(E_F) = 0.9825 states/eV per atom; ρ = 8434 kg/m³; ΔE to the lowest computed polymorph = 46 meV/atom
1.0
3.653 0.000 0.000
0.000 4.740 0.000
0.000 0.000 11.378
Dy Al Ag
4 1 3
Direct
0.000 0.000 0.000
0.000 0.500 0.293
0.500 0.000 0.496
0.500 0.500 0.800
0.000 0.000 0.723
0.000 0.500 0.574
0.500 0.000 0.226
0.500 0.500 0.071


(2)
Dy2Al5Ag4, relaxed, DFT PBE; size of the total moment = 0.00 Bohr magnetons per cell; E_tot = -3.84 eV/atom; N(E_F) = 0.3904 states/eV per atom; ρ = 6662 kg/m³
1.0
0.000 4.594 8.879
2.723 0.000 8.879
2.723 4.594 0.000
Dy Al Ag
2 5 4
Direct
0.103 0.103 0.897
0.897 0.897 0.103
0.000 0.000 0.500
0.250 0.250 0.250
0.500 0.500 0.000
0.500 0.500 0.500
0.750 0.750 0.750
0.206 0.532 0.468
0.468 0.794 0.206
0.532 0.206 0.794
0.794 0.468 0.532


(3)
Dy4Al2Ag, relaxed, DFT PBE; size of the total moment = 0.00 Bohr magnetons per cell; E_tot = -4.31 eV/atom; N(E_F) = 1.1902 states/eV per atom; ρ = 7231 kg/m³
1.0
2.557 1.476 8.235
-2.557 1.476 8.235
0.000 -2.952 8.235
Dy Al Ag
4 2 1
Direct
0.120 0.120 0.120
0.372 0.372 0.372
0.628 0.628 0.628
0.880 0.880 0.880
0.249 0.249 0.249
0.751 0.751 0.751
0.500 0.500 0.500


(4)
Dy3Al3Ag2, relaxed, DFT PBE; size of the total moment = 0.00 Bohr magnetons per cell; E_tot = -4.24 eV/atom; N(E_F) = 0.6923 states/eV per atom; ρ = 7225 kg/m³
1.0
2.257 -5.372 0.000
2.257 5.372 0.000
0.000 0.000 14.866
Dy Al Ag
6 6 4
Direct
0.087 0.913 0.610
0.087 0.913 0.890
0.361 0.639 0.750
0.639 0.361 0.250
0.913 0.087 0.110
0.913 0.087 0.390
0.348 0.652 0.250
0.389 0.611 0.538
0.389 0.611 0.962
0.611 0.389 0.038
0.611 0.389 0.462
0.652 0.348 0.750
0.206 0.794 0.099
0.206 0.794 0.401
0.794 0.206 0.599
0.794 0.206 0.901